A geometry-optimized SbPb2Au structure, computed with PBE.

Its total energy is -3.711 eV/atom.

Lattice parameters (Å, degrees): 4.3115 24.2203 4.3481 90.00 90.00 90.00
Closest atoms and distances in Å follow each position.
Space group Cmcm (No. 63)
Inequivalent atoms, fractional coordinates:
Sb 0.0000 0.1961 0.2500  6 Pb 3.17-3.42
Pb 0.0000 0.0650 0.2500  6 Au 3.12-3.33, 1 Sb 3.18
Pb 0.0000 0.3372 0.2500  1 Au 2.98, 4 Sb 3.17
Au 0.0000 0.4602 0.2500  2 Au 2.91, 5 Pb 2.98-3.12


A geometry-optimized LiTmIn2Cl6 structure, computed with PBE.

Its total energy is -3.903 eV/atom.

Lattice parameters (Å, degrees): 7.2180 7.3689 12.5083 90.00 125.02 90.00
Closest atoms and distances in Å follow each position.
Space group P2_1/c (No. 14)
Inequivalent atoms, fractional coordinates:
Li 0.0000 0.0000 0.0000  6 Cl 2.60-2.65
Tm 0.5000 0.0000 0.5000  6 Cl 2.61
In 0.2347 0.0565 0.7465  8 Cl 3.23-3.55
Cl 0.1796 0.2100 0.4669  1 Tm 2.61, 1 Li 2.65
Cl 0.2563 0.7152 0.4661  1 Tm 2.61, 1 Li 2.65
Cl 0.3164 0.0114 0.2495  1 Li 2.60, 1 Tm 2.61


A geometry-optimized TaHgCl2 structure, computed with PBE.

Its total energy is -4.432 eV/atom. The energy relative to the lowest polymorph listed for this composition is 107 meV per atom.

Lattice parameters (Å, degrees): 11.0918 3.0765 7.1235 90.00 114.21 90.00
Closest atoms and distances in Å follow each position.
Space group Cm (No. 8)
Inequivalent atoms, fractional coordinates:
Ta 0.0000 0.0000 0.0000  4 Cl 2.48
Hg 0.2613 0.0000 0.0001  3 Ta 2.90-3.06, 2 Hg 3.08
Cl 0.0969 0.5000 0.2976  2 Ta 2.48
Cl 0.4400 0.0000 0.7025  2 Ta 2.48


A geometry-optimized La2Er6Tm structure, computed with PBE.

Its total energy is -4.596 eV/atom. For the formation enthalpy at 0 K, the calculation gives 0.038 eV/atom. The energy relative to the lowest polymorph listed for this composition is 0 meV per atom.

Lattice parameters (Å, degrees): 10.6520 10.6520 5.0788 90.00 90.00 90.00
Closest atoms and distances in Å follow each position.
Space group P4_2/mnm (No. 136)
Inequivalent atoms, fractional coordinates:
La 0.1650 0.1650 0.0000  10 Er 3.55-3.58, 2 Tm 3.55
Er 0.0008 0.3350 0.5000  8 Er 3.51-3.58, 1 Tm 3.57, 3 La 3.58
Er 0.1679 0.8321 0.0000  6 Er 3.53-3.58, 4 La 3.55-3.58, 2 Tm 3.58
Tm 0.0000 0.0000 0.5000  4 La 3.55, 8 Er 3.57-3.58


A geometry-optimized Tc3GeW structure, computed with PBE.

Its total energy is -7.975 eV/atom. For the formation enthalpy at 0 K, the calculation gives 1.758 eV/atom. The energy relative to the lowest polymorph listed for this composition is 409 meV per atom.

Lattice parameters (Å, degrees): 4.7288 4.7288 4.7288 90.00 90.00 90.00
Closest atoms and distances in Å follow each position.
Space group Pm-3m (No. 221)
Inequivalent atoms, fractional coordinates:
Tc 0.0000 0.0000 0.5000  2 W 2.36
Ge 0.5000 0.5000 0.5000  12 Tc 3.34
W 0.0000 0.0000 0.0000  6 Tc 2.36


A geometry-optimized Ba8TlIn2 structure, computed with PBE.

Its total energy is -2.309 eV/atom. For the formation enthalpy at 0 K, the calculation gives -0.198 eV/atom. The energy relative to the lowest polymorph listed for this composition is 58 meV per atom.

Lattice parameters (Å, degrees): 5.9413 9.7324 17.5513 90.00 90.00 90.00
Closest atoms and distances in Å follow each position.
Space group Immm (No. 71)
Inequivalent atoms, fractional coordinates:
Ba 0.0000 0.0000 0.1421  2 Tl 3.88, 8 Ba 3.97-4.10, 2 In 4.19
Ba 0.0000 0.2199 0.3414  3 In 3.70-3.81, 1 Tl 3.90, 5 Ba 4.04-4.10
Ba 0.0000 0.3172 0.0000  3 Ba 3.56-3.97, 2 In 3.78
Tl 0.0000 0.5000 0.5000  12 Ba 3.88-4.28
In 0.0000 0.5000 0.1897  8 Ba 3.70-3.81


A geometry-optimized PrMgCdPt structure, computed with PBE.

Its total energy is -3.902 eV/atom. For the formation enthalpy at 0 K, the calculation gives -0.570 eV/atom.

Lattice parameters (Å, degrees): 7.1224 7.1224 7.1224 90.00 90.00 90.00
Closest atoms and distances in Å follow each position.
Space group F-43m (No. 216)
Inequivalent atoms, fractional coordinates:
Pr 0.0000 0.0000 0.0000  4 Cd 3.08, 4 Pt 3.08
Mg 0.0000 0.0000 0.5000  4 Cd 3.08, 4 Pt 3.08
Cd 0.2500 0.2500 0.2500  4 Pr 3.08, 4 Mg 3.08
Pt 0.2500 0.2500 0.7500  4 Pr 3.08, 4 Mg 3.08


A geometry-optimized Cs2PaO3 structure, computed with PBE.

Its total energy is -6.748 eV/atom.

Lattice parameters (Å, degrees): 11.9149 7.9247 6.5563 90.00 90.00 90.00
Closest atoms and distances in Å follow each position.
Space group Cmcm (No. 63)
Inequivalent atoms, fractional coordinates:
Cs 0.1616 0.1350 0.2500  3 O 3.00-3.30
Pa 0.0000 0.4134 0.7500  5 O 2.05-2.24
O 0.0000 0.1546 0.7500  1 Pa 2.05
O 0.1150 0.5000 0.0000  2 Pa 2.24


A geometry-optimized Hf7Pb2N2 structure, computed with PBE.

Its total energy is -8.864 eV/atom.

Lattice parameters (Å, degrees): 8.0024 9.9151 5.9245 90.00 93.96 90.00
Closest atoms and distances in Å follow each position.
Space group C2/m (No. 12)
Inequivalent atoms, fractional coordinates:
Hf 0.0000 0.0000 0.0000  2 N 2.04
Hf 0.1494 0.5000 0.6768  1 N 2.07
Hf 0.1614 0.3358 0.1765  1 N 2.04
Pb 0.0000 0.1580 0.5000  4 Hf 2.97-3.21, 1 Pb 3.13
N 0.2456 0.5000 0.0098  4 Hf 2.04-2.07


A geometry-optimized La2NiCl structure, computed with PBE.

Its total energy is -5.201 eV/atom. The energy relative to the lowest polymorph listed for this composition is 143 meV per atom.

Lattice parameters (Å, degrees): 3.4297 3.4692 8.1001 90.00 90.01 90.00
Closest atoms and distances in Å follow each position.
Space group P2/m (No. 10)
Inequivalent atoms, fractional coordinates:
La 0.0060 0.0000 0.2805  4 Ni 3.01-3.03, 4 Cl 3.32-3.34
Ni 0.5000 0.5000 0.5000  8 La 3.01-3.03
Cl 0.5000 0.5000 0.0000  8 La 3.32-3.34, 4 Cl 3.43-3.47


A geometry-optimized MgCoAs2 structure, computed with PBE.

Its total energy is -4.590 eV/atom. For the formation enthalpy at 0 K, the calculation gives -0.090 eV/atom.

Lattice parameters (Å, degrees): 2.9370 2.9370 8.0422 90.00 90.00 90.00
Closest atoms and distances in Å follow each position.
Space group P4mm (No. 99)
Inequivalent atoms, fractional coordinates:
Mg 0.0000 0.0000 0.0000  4 Co 2.77, 5 As 2.91-3.02, 4 Mg 2.94
Co 0.5000 0.5000 0.7716  4 As 2.39
As 0.0000 0.0000 0.6239  4 Co 2.39
As 0.5000 0.5000 0.2530  4 Mg 2.91, 4 As 2.94


A geometry-optimized AcHo2Os structure, computed with PBE.

Its total energy is -5.909 eV/atom. For the formation enthalpy at 0 K, the calculation gives 0.215 eV/atom. The energy relative to the lowest polymorph listed for this composition is 320 meV per atom.

Lattice parameters (Å, degrees): 3.8549 3.8549 32.1947 90.00 90.00 120.00
Closest atoms and distances in Å follow each position.
Space group R-3m (No. 166, hexagonal axes)
Inequivalent atoms, fractional coordinates:
Ac 0.0000 0.0000 0.0000  2 Ho 3.78, 6 Ac 3.85
Ho 0.0000 0.0000 0.1174  3 Os 2.73
Os 0.0000 0.0000 0.5000  6 Ho 2.73